! CaReSi2 (PBE, relaxed); values from VASP
&SYSTEM
  ibrav = 0, nat = 4, ntyp = 3
/
ATOMIC_SPECIES
Ca 40.08 Ca.upf
Re 186.21 Re.upf
Si 28.09 Si.upf
CELL_PARAMETERS angstrom
-1.3927 3.5710 -3.1464
-2.5453 0.3644 4.2402
2.0012 1.7095 1.0544
ATOMIC_POSITIONS crystal
Ca 0.5000 0.0000 0.5000
Re 0.0000 0.5000 0.5000
Si 0.0000 0.0000 0.0000
Si 0.5000 0.5000 0.0000
! Total energy, eV/atom: -5.93
! Uncorrected formation energy, kJ/mol of atoms: 37.9


! La2ReMo (PBE, relaxed); values from VASP
&SYSTEM
  ibrav = 0, nat = 4, ntyp = 3
/
ATOMIC_SPECIES
La 138.91 La.upf
Mo 95.94 Mo.upf
Re 186.21 Re.upf
CELL_PARAMETERS angstrom
-1.4077 2.4803 1.8616
-4.7683 -1.8484 -1.1428
0.1636 -2.8287 3.8927
ATOMIC_POSITIONS crystal
La 0.0000 0.0000 0.0000
La 0.5000 0.5000 0.0000
Mo 0.5000 0.0000 0.5000
Re 0.0000 0.5000 0.5000
! Formation energy from the elements, eV per atom: 0.72
! Total energy, eV/atom: -7.56


! Cs3GeSe3 (PBE, relaxed); values from VASP
&SYSTEM
  ibrav = 0, nat = 28, ntyp = 3
/
ATOMIC_SPECIES
Cs 132.91 Cs.upf
Ge 72.64 Ge.upf
Se 78.96 Se.upf
CELL_PARAMETERS angstrom
7.7174 0.0000 0.0000
-3.8587 10.5618 0.0000
0.0000 0.0000 14.3752
ATOMIC_POSITIONS crystal
Cs 0.6481 0.0000 0.8343
Cs 0.8519 0.0000 0.3343
Cs 0.1481 0.0000 0.6657
Cs 0.3519 0.0000 0.1657
Cs 0.9824 0.6484 0.3716
Cs 0.5176 0.3516 0.8716
Cs 0.8340 0.3516 0.1284
Cs 0.6660 0.6484 0.6284
Cs 0.0176 0.3516 0.6284
Cs 0.4824 0.6484 0.1284
Cs 0.1660 0.6484 0.8716
Cs 0.3340 0.3516 0.3716
Ge 0.4200 0.8400 0.5000
Ge 0.0800 0.1600 0.0000
Ge 0.5800 0.1600 0.5000
Ge 0.9200 0.8400 0.0000
Se 0.2153 0.0000 0.9178
Se 0.2847 0.0000 0.4178
Se 0.7153 0.0000 0.5822
Se 0.7847 0.0000 0.0822
Se 0.5021 0.7006 0.3871
Se 0.9979 0.2994 0.8871
Se 0.3015 0.2994 0.1129
Se 0.1985 0.7006 0.6129
Se 0.4979 0.2994 0.6129
Se 0.0021 0.7006 0.1129
Se 0.6985 0.7006 0.8871
Se 0.8015 0.2994 0.3871
! Total energy, eV/atom: -3.43
! Uncorrected formation energy, kJ/mol of atoms: -87.8


! RuAuCl2 (PBE, relaxed); values from VASP
&SYSTEM
  ibrav = 0, nat = 4, ntyp = 3
/
ATOMIC_SPECIES
Ru 101.07 Ru.upf
Au 196.97 Au.upf
Cl 35.45 Cl.upf
CELL_PARAMETERS angstrom
3.0685 0.0000 0.0000
0.0000 5.1611 -1.7207
0.0000 1.4882 4.4333
ATOMIC_POSITIONS crystal
Ru 0.5000 0.5000 0.5000
Au 0.0000 0.0000 0.5000
Cl 0.0000 0.0000 0.0000
Cl 0.5000 0.5000 0.0000
! Total energy, eV/atom: -3.55
! Uncorrected formation energy, kJ/mol of atoms: 49.0


The lowest total energy belongs to which entry? La2ReMo


The highest total energy belongs to which entry? Cs3GeSe3


What is the total energy in the fourth record? -3.55 eV/atom